No. 1
Density functional theory data (PBE) for a geometry-optimized Sm2Ho2CBr3Cl2 structure.

Calculated values
crystal system: monoclinic
energy above the most stable polymorph in this dataset: 0.0 kJ/mol of formula units

```
Sm2Ho2CBr3Cl2
1.0
8.8738 -1.9205 0.0000
8.8738 1.9205 0.0000
-1.9007 0.0000 8.0548
Sm Ho C Br Cl
2 2 1 3 2
Direct
0.0000 0.0000 0.2055
0.0000 0.0000 0.7945
0.3620 0.3620 0.9273
0.6380 0.6380 0.0727
0.5000 0.5000 0.0000
0.1731 0.1731 0.8395
0.5000 0.5000 0.5000
0.8269 0.8269 0.1605
0.1634 0.1634 0.3099
0.8366 0.8366 0.6901
```

No. 2
Density functional theory data (PBE) for a geometry-optimized DyBiPO structure.

Calculated values
crystal system: tetragonal
energy above the most stable polymorph in this dataset: 6.0 kJ/mol of formula units

```
DyBiPO
1.0
4.2197 0.0000 0.0000
0.0000 4.2197 0.0000
0.0000 0.0000 9.6118
Dy Bi P O
2 2 2 2
Direct
0.2500 0.2500 0.0942
0.7500 0.7500 0.9058
0.2500 0.7500 0.5000
0.7500 0.2500 0.5000
0.2500 0.2500 0.7357
0.7500 0.7500 0.2643
0.2500 0.7500 0.0000
0.7500 0.2500 0.0000
```

No. 3
Density functional theory data (PBE) for a geometry-optimized LaSmI3N structure.

Calculated values
crystal system: monoclinic
energy above the most stable polymorph in this dataset: 0.0 kJ/mol of formula units

```
LaSmI3N
1.0
10.3351 -2.0731 0.0000
10.3351 2.0731 0.0000
-7.6205 0.0000 10.4418
La Sm I N
2 2 6 2
Direct
0.1313 0.1313 0.2741
0.8687 0.8687 0.7259
0.4321 0.4321 0.0365
0.5679 0.5679 0.9635
0.0368 0.0368 0.7518
0.2125 0.2125 0.1188
0.3325 0.3325 0.4924
0.6675 0.6675 0.5076
0.7875 0.7875 0.8812
0.9632 0.9632 0.2482
0.4298 0.4298 0.8547
0.5702 0.5702 0.1453
```

No. 4
Density functional theory data (PBE) for a geometry-optimized TmHfGe4 structure.

Calculated values
DFT total energy: -6.0340 eV/atom
crystal system: orthorhombic

```
TmHfGe4
1.0
3.8287 0.0000 0.0000
0.0000 1.9523 7.7246
0.0000 -1.9523 7.7246
Tm Hf Ge
1 1 4
Direct
0.0000 0.0000 0.0000
0.5000 0.2099 0.2099
0.0000 0.3517 0.3517
0.0000 0.6682 0.6682
0.5000 0.5552 0.5552
0.5000 0.8494 0.8494
```

No. 5
Density functional theory data (PBE) for a geometry-optimized DySiB structure.

Calculated values
crystal system: cubic
energy above the most stable polymorph in this dataset: 0.0 kJ/mol of formula units

```
DySiB
1.0
0.0000 2.8916 2.8916
2.8916 0.0000 2.8916
2.8916 2.8916 0.0000
Dy Si B
1 1 1
Direct
0.0000 0.0000 0.0000
0.5000 0.5000 0.5000
0.2500 0.2500 0.2500
```

No. 6
Density functional theory data (PBE) for a geometry-optimized Ga7Pt3 structure.

Calculated values
DFT total energy: -4.4779 eV/atom
crystal system: cubic

```
Ga7Pt3
1.0
-4.4363 4.4363 4.4363
4.4363 -4.4363 4.4363
4.4363 4.4363 -4.4363
Ga Pt
14 6
Direct
0.0000 0.0000 0.3296
0.0000 0.0000 0.6704
0.0000 0.3296 0.0000
0.0000 0.6704 0.0000
0.2500 0.5000 0.7500
0.2500 0.7500 0.5000
0.3296 0.0000 0.0000
0.3296 0.3296 0.3296
0.5000 0.2500 0.7500
0.5000 0.7500 0.2500
0.6704 0.0000 0.0000
0.6704 0.6704 0.6704
0.7500 0.2500 0.5000
0.7500 0.5000 0.2500
0.0000 0.3404 0.3404
0.0000 0.6596 0.6596
0.3404 0.0000 0.3404
0.3404 0.3404 0.0000
0.6596 0.0000 0.6596
0.6596 0.6596 0.0000
```

No. 7
Density functional theory data (PBE) for a geometry-optimized ZnTe structure.

Calculated values
DFT total energy: -2.3696 eV/atom
crystal system: trigonal

```
ZnTe
1.0
5.8760 3.3925 1.3046
-5.8760 3.3925 1.3046
0.0000 -6.7850 1.3046
Zn Te
3 3
Direct
0.0979 0.0979 0.8042
0.0979 0.8042 0.0979
0.8042 0.0979 0.0979
0.3766 0.3766 0.7003
0.3766 0.7003 0.3766
0.7003 0.3766 0.3766
```

No. 8
Density functional theory data (PBE) for a geometry-optimized TbPrAg2Pb2 structure.

Calculated values
DFT total energy: -4.1896 eV/atom
crystal system: trigonal

```
TbPrAg2Pb2
1.0
4.8682 0.0000 0.0000
-2.4341 4.2160 0.0000
0.0000 0.0000 7.5889
Tb Pr Ag Pb
1 1 2 2
Direct
0.0000 0.0000 0.0000
0.0000 0.0000 0.4988
0.3333 0.6667 0.7021
0.6667 0.3333 0.1840
0.3333 0.6667 0.2747
0.6667 0.3333 0.7841
```

No. 9
Density functional theory data (PBE) for a geometry-optimized CuReSbIr structure.

Calculated values
crystal system: cubic
energy above the most stable polymorph in this dataset: 0.0 kJ/mol of formula units

```
CuReSbIr
1.0
0.0000 3.1612 3.1612
3.1612 0.0000 3.1612
3.1612 3.1612 0.0000
Cu Re Sb Ir
1 1 1 1
Direct
0.0000 0.0000 0.0000
0.5000 0.5000 0.5000
0.7500 0.7500 0.7500
0.2500 0.2500 0.2500
```

No. 10
Density functional theory data (PBE) for a geometry-optimized NaZrNO structure.

Calculated values
crystal system: orthorhombic
energy above the most stable polymorph in this dataset: 0.0 kJ/mol of formula units

```
NaZrNO
1.0
4.4902 0.0000 0.0000
0.0000 3.7442 0.0000
0.0000 0.0000 6.8220
Na Zr N O
2 2 2 2
Direct
0.2500 0.0000 0.1461
0.7500 0.0000 0.8539
0.2500 0.5000 0.6593
0.7500 0.5000 0.3407
0.2500 0.5000 0.3615
0.7500 0.5000 0.6385
0.2500 0.0000 0.8025
0.7500 0.0000 0.1975
```

No. 11
Density functional theory data (PBE) for a geometry-optimized In2Hg6P3Cl9 structure.

Calculated values
DFT total energy: -2.6373 eV/atom
crystal system: monoclinic

```
In2Hg6P3Cl9
1.0
10.5289 0.0000 0.0000
0.0000 10.8624 0.0000
-4.9015 0.0000 9.8614
In Hg P Cl
4 12 6 18
Direct
0.1399 0.0000 0.4113
0.1918 0.6296 0.8315
0.8082 0.1296 0.1685
0.8601 0.5000 0.5887
0.0140 0.0652 0.8253
0.2212 0.3192 0.1220
0.3276 0.3941 0.5064
0.3544 0.2352 0.8493
0.3668 0.6539 0.2771
0.3824 0.9924 0.1306
0.6176 0.4924 0.8694
0.6332 0.1539 0.7229
0.6456 0.7352 0.1507
0.6724 0.8941 0.4936
0.7788 0.8192 0.8780
0.9860 0.5652 0.1747
0.2229 0.4780 0.2787
0.2391 0.1553 0.9802
0.4820 0.3196 0.7318
0.5180 0.8196 0.2682
0.7609 0.6553 0.0198
0.7771 0.9780 0.7213
0.0101 0.0027 0.1393
0.0296 0.2223 0.3717
0.1344 0.4520 0.6508
0.1568 0.7845 0.9827
0.1909 0.7804 0.4026
0.2009 0.0193 0.6550
0.3623 0.0883 0.4139
0.3799 0.5029 0.0184
0.3796 0.7227 0.7883
0.6201 0.0029 0.9816
0.6204 0.2227 0.2117
0.6377 0.5883 0.5861
0.7991 0.5193 0.3450
0.8091 0.2804 0.5974
0.8432 0.2845 0.0173
0.8656 0.9520 0.3492
0.9704 0.7223 0.6283
0.9899 0.5027 0.8607
```

No. 12
Density functional theory data (PBE) for a geometry-optimized RbDyPbS3 structure.

Calculated values
DFT total energy: -4.8767 eV/atom
crystal system: orthorhombic

```
RbDyPbS3
1.0
2.0176 -8.6723 0.0000
2.0176 8.6723 0.0000
0.0000 0.0000 11.5659
Rb Dy Pb S
2 2 2 6
Direct
0.1678 0.8322 0.7500
0.8322 0.1678 0.2500
0.5000 0.5000 0.0000
0.5000 0.5000 0.5000
0.1106 0.8894 0.2500
0.8894 0.1106 0.7500
0.1055 0.8945 0.0035
0.1055 0.8945 0.4965
0.4968 0.5032 0.7500
0.5032 0.4968 0.2500
0.8945 0.1055 0.5035
0.8945 0.1055 0.9965
```